Below is a crystal of BaInHg2 relaxed with PBEsol, with properties calculated at the meta-GGA SCAN level.

As for the calculated formation energy: -364 meV per atom. The calculation puts the raw total energy at -210.73 eV/f.u. As for the magnetic moment: 0.00 μB per formula unit.

The structure belongs to space group I-4m2 (No. 119); the cell edges are 5.381, 5.381 and 7.672 Å and the angles 90.00°, 90.00° and 90.00°. Symmetry generates all atoms from Ba at (0.000, 0.000, 0.000), In at (0.000, 0.500, 0.250), Hg at (0.000, 0.000, 0.500) and Hg at (0.000, 0.500, 0.750).

Below is a crystal of Ba3InHg relaxed with PBEsol, with properties calculated at the meta-GGA SCAN level.

As for the calculated formation energy: -43 meV per atom. The calculation puts the raw total energy at -220.42 eV/f.u. As for the magnetic moment: 1.73 μB per formula unit.

The structure belongs to space group Pm-3m (No. 221); the cell edges are 6.595, 6.595 and 6.595 Å and the angles 90.00°, 90.00° and 90.00°. Symmetry generates all atoms from Ba at (0.000, 0.000, 0.500), In at (0.000, 0.000, 0.000) and Hg at (0.500, 0.500, 0.500).

Below is a crystal of BaIn2Hg relaxed with PBEsol, with properties calculated at the meta-GGA SCAN level.

As for the calculated formation energy: -429 meV per atom. The calculation puts the raw total energy at -176.20 eV/f.u. As for the magnetic moment: 0.00 μB per formula unit.

The structure belongs to space group F-43m (No. 216); the cell edges are 7.702, 7.702 and 7.702 Å and the angles 90.00°, 90.00° and 90.00°. Symmetry generates all atoms from Ba at (0.000, 0.000, 0.000), In at (0.000, 0.000, 0.500), In at (0.250, 0.250, 0.250) and Hg at (0.250, 0.250, 0.750).